No. 1
CdAs2Ru after structural relaxation, computed with PBE.

Cell: 3.017 3.017 8.232 Å, 90.00 90.00 90.00°
Space group P4mm (No. 99)
Symmetry-distinct sites (fractional):
Cd1 0.000 0.000 0.000 x1
As1 0.000 0.000 0.402 x1
As2 0.500 0.500 0.725 x1
Ru1 0.500 0.500 0.245 x1

N(E_F): 0.9 states/eV/cell
Formation energy: 6 kJ/mol of atoms

No. 2
CeZr3Tc2 after structural relaxation, computed with PBE.

Cell: 3.314 3.314 11.127 Å, 90.00 90.00 90.00°
Space group P4/mmm (No. 123)
Symmetry-distinct sites (fractional):
Ce1 0.000 0.000 0.000 x1
Zr1 0.500 0.500 0.210 x2
Zr2 0.500 0.500 0.500 x1
Tc1 0.000 0.000 0.349 x2

N(E_F): 7.2 states/eV/cell
Formation energy: -21 kJ/mol of atoms

No. 3
TmPaS3 after structural relaxation, computed with PBE.

Cell: 6.5716 6.5716 20.3317 Å, 90.00 90.00 120.00°
Space group R32 (No. 155, hexagonal axes)
Symmetry-distinct sites (fractional):
Tm1 0.0000 0.0000 0.1575 x6
Pa1 0.0000 0.0000 0.3438 x6
S1 0.0070 0.3080 0.7514 x18

Raw formation energy: -1.6178 eV per atom
N(E_F): 23.2 states/eV/cell

No. 4
HfTi2CuC after structural relaxation, computed with PBE.

Cell: 4.156 4.156 4.416 Å, 90.00 90.00 90.00°
Space group P4/mmm (No. 123)
Symmetry-distinct sites (fractional):
Hf1 0.000 0.000 0.000 x1
Ti1 0.000 0.500 0.500 x2
Cu1 0.500 0.500 0.000 x1
C1 0.000 0.000 0.500 x1

N(E_F): 2.5 states/eV/cell
Formation energy: -34 kJ/mol of atoms